No. 1
DFT (PBE+U) results for an optimized crystal structure of CaNdMn2O6.

```
CaNdMn2O6
1.0
7.672 0.000 0.000
0.000 5.453 0.000
0.000 0.000 5.538
Ca Nd Mn O
2 2 4 12
direct
0.000 0.240 0.000
0.000 0.760 0.500
0.500 0.259 0.911
0.500 0.741 0.411
0.243 0.249 0.455
0.243 0.751 0.955
0.757 0.249 0.455
0.757 0.751 0.955
0.000 0.334 0.428
0.000 0.666 0.928
0.212 0.044 0.749
0.212 0.956 0.249
0.296 0.466 0.171
0.296 0.534 0.671
0.500 0.174 0.470
0.500 0.826 0.970
0.704 0.466 0.171
0.704 0.534 0.671
0.788 0.044 0.749
0.788 0.956 0.249
```

Results
distance to the lowest polymorph of the same formula: 1 meV per atom
symmetry: No. 26


No. 2
DFT (PBE+U) results for an optimized crystal structure of CaNdMn2O6.

```
CaNdMn2O6
1.0
7.696 0.000 0.000
0.000 16.330 0.000
0.000 0.000 5.522
Ca Nd Mn O
6 6 12 36
direct
0.000 0.079 0.000
0.000 0.415 0.997
0.000 0.585 0.497
0.000 0.921 0.500
0.500 0.247 0.406
0.500 0.753 0.906
0.000 0.253 0.496
0.000 0.747 0.996
0.500 0.089 0.906
0.500 0.418 0.911
0.500 0.582 0.411
0.500 0.911 0.406
0.247 0.083 0.452
0.247 0.416 0.452
0.247 0.584 0.952
0.247 0.917 0.952
0.248 0.249 0.954
0.248 0.751 0.454
0.752 0.249 0.954
0.752 0.751 0.454
0.753 0.083 0.452
0.753 0.416 0.452
0.753 0.584 0.952
0.753 0.917 0.952
0.000 0.110 0.432
0.000 0.222 0.932
0.000 0.443 0.429
0.000 0.557 0.929
0.000 0.778 0.432
0.000 0.890 0.932
0.206 0.346 0.741
0.206 0.654 0.241
0.209 0.321 0.239
0.209 0.679 0.739
0.213 0.015 0.748
0.213 0.985 0.248
0.290 0.153 0.165
0.290 0.847 0.665
0.293 0.180 0.662
0.293 0.820 0.162
0.298 0.489 0.171
0.298 0.511 0.671
0.500 0.056 0.468
0.500 0.274 0.972
0.500 0.390 0.472
0.500 0.610 0.972
0.500 0.726 0.472
0.500 0.944 0.968
0.702 0.489 0.171
0.702 0.511 0.671
0.707 0.180 0.662
0.707 0.820 0.162
0.710 0.153 0.165
0.710 0.847 0.665
0.787 0.015 0.748
0.787 0.985 0.248
0.791 0.321 0.239
0.791 0.679 0.739
0.794 0.346 0.741
0.794 0.654 0.241
```

Results
distance to the lowest polymorph of the same formula: 1 meV per atom
symmetry: No. 26


Calculated total magnetization in order - 14.0, 42.0 Bohr magnetons per cell
Calculated electronic total energy in order - -7.4778, -7.4775 eV/atom